# PBE CaReRh2, optimized geometry
# DFT formation energy, eV per atom: 0.08
data_CaReRh2
_chemical_formula_sum 'Ca1 Re1 Rh2'
_cell_length_a 4.845
_cell_length_b 4.845
_cell_length_c 2.824
_cell_angle_alpha 90.00
_cell_angle_beta 90.00
_cell_angle_gamma 102.16
_space_group_name_H-M_alt 'P 1'
_space_group_IT_number 1
loop_
_space_group_symop_operation_xyz
'x,y,z'
loop_
_atom_site_label
_atom_site_type_symbol
_atom_site_fract_x
_atom_site_fract_y
_atom_site_fract_z
Ca1 Ca 0.000 0.000 0.000
Re1 Re 0.500 0.500 0.000
Rh1 Rh 0.000 0.500 0.500
Rh2 Rh 0.500 0.000 0.500